1.
VASP calculation (PBE) on a relaxed structure of LaMg2Re.

Values from the calculation:
- Density: 7.31 g/cm3
- Total magnetization: 0.58 μB/f.u.
- Excess energy over the best structure of this formula in the dataset: 0.134 eV per atom
- Crystal system: trigonal
- Energy relative to the elements: 435 meV per atom

Structure (CIF):
```
data_LaMg2Re
_cell_length_a 3.0142
_cell_length_b 3.0142
_cell_length_c 32.3791
_cell_angle_alpha 90.00
_cell_angle_beta 90.00
_cell_angle_gamma 120.00
_space_group_name_H-M_alt 'R -3 m'
_space_group_IT_number 166
_space_group_name_Hall '-R 3 2"'
loop_
_atom_site_label
_atom_site_type_symbol
_atom_site_fract_x
_atom_site_fract_y
_atom_site_fract_z
La1 La 0.0000 0.0000 0.0000
Mg1 Mg 0.0000 0.0000 0.2371
Re1 Re 0.0000 0.0000 0.5000
```


2.
VASP calculation (PBE) on a relaxed structure of DyNbPt6.

Values from the calculation:
- Density: 17.65 g/cm3
- Total magnetization: 0.00 μB/f.u.
- Crystal system: tetragonal
- Energy relative to the elements: -850 meV per atom

Structure (CIF):
```
data_DyNbPt6
_cell_length_a 4.0588
_cell_length_b 4.0588
_cell_length_c 8.1419
_cell_angle_alpha 90.00
_cell_angle_beta 90.00
_cell_angle_gamma 90.00
_space_group_name_H-M_alt 'P 4/m m m'
_space_group_IT_number 123
_space_group_name_Hall '-P 4 2'
loop_
_atom_site_label
_atom_site_type_symbol
_atom_site_fract_x
_atom_site_fract_y
_atom_site_fract_z
Dy1 Dy 0.0000 0.0000 0.0000
Nb1 Nb 0.0000 0.0000 0.5000
Pt1 Pt 0.0000 0.5000 0.2639
Pt2 Pt 0.5000 0.5000 0.0000
Pt3 Pt 0.5000 0.5000 0.5000
```


3.
VASP calculation (PBE) on a relaxed structure of SrGeAs2.

Values from the calculation:
- Density: 4.85 g/cm3
- Total magnetization: 0.00 μB/f.u.
- Crystal system: tetragonal
- Energy relative to the elements: -462 meV per atom

Structure (CIF):
```
data_SrGeAs2
_cell_length_a 4.2564
_cell_length_b 4.2564
_cell_length_c 11.7212
_cell_angle_alpha 90.00
_cell_angle_beta 90.00
_cell_angle_gamma 90.00
_space_group_name_H-M_alt 'I -4 m 2'
_space_group_IT_number 119
_space_group_name_Hall 'I -4 -2'
loop_
_atom_site_label
_atom_site_type_symbol
_atom_site_fract_x
_atom_site_fract_y
_atom_site_fract_z
Sr1 Sr 0.0000 0.0000 0.0000
Ge1 Ge 0.0000 0.5000 0.7500
As1 As 0.0000 0.0000 0.3825
```


4.
VASP calculation (PBE) on a relaxed structure of Mg2TaPt.

Values from the calculation:
- Density: 9.90 g/cm3
- Total magnetization: 0.00 μB/f.u.
- Excess energy over the best structure of this formula in the dataset: 0.194 eV per atom
- Crystal system: orthorhombic
- Energy relative to the elements: -91 meV per atom

Structure (CIF):
```
data_Mg2TaPt
_cell_length_a 5.5094
_cell_length_b 9.1965
_cell_length_c 2.8128
_cell_angle_alpha 90.00
_cell_angle_beta 90.00
_cell_angle_gamma 90.00
_space_group_name_H-M_alt 'C m m m'
_space_group_IT_number 65
_space_group_name_Hall '-C 2 2'
loop_
_atom_site_label
_atom_site_type_symbol
_atom_site_fract_x
_atom_site_fract_y
_atom_site_fract_z
Mg1 Mg 0.2500 0.2500 0.0000
Ta1 Ta 0.0000 0.0000 0.5000
Pt1 Pt 0.0000 0.5000 0.5000
```


5.
VASP calculation (PBE) on a relaxed structure of BaScF3.

Values from the calculation:
- Formation energy (no corrections): -2831 meV per atom
- Density: 4.50 g/cm3
- Total magnetization: 1.72 μB/f.u.
- Excess energy over the best structure of this formula in the dataset: 0.000 eV per atom
- Crystal system: cubic

Structure (CIF):
```
data_BaScF3
_cell_length_a 4.4517
_cell_length_b 4.4517
_cell_length_c 4.4517
_cell_angle_alpha 90.00
_cell_angle_beta 90.00
_cell_angle_gamma 90.00
_space_group_name_H-M_alt 'P m -3 m'
_space_group_IT_number 221
_space_group_name_Hall '-P 4 2 3'
loop_
_atom_site_label
_atom_site_type_symbol
_atom_site_fract_x
_atom_site_fract_y
_atom_site_fract_z
Ba1 Ba 0.0000 0.0000 0.0000
Sc1 Sc 0.5000 0.5000 0.5000
F1 F 0.0000 0.5000 0.5000
```


6.
VASP calculation (PBE) on a relaxed structure of LaNdErTm.

Values from the calculation:
- Density: 7.66 g/cm3
- Total magnetization: 0.00 μB/f.u.
- Excess energy over the best structure of this formula in the dataset: 0.011 eV per atom
- Crystal system: monoclinic
- Energy relative to the elements: 97 meV per atom

Structure (CIF):
```
data_LaNdErTm
_cell_length_a 12.4435
_cell_length_b 5.8751
_cell_length_c 3.8495
_cell_angle_alpha 90.00
_cell_angle_beta 107.45
_cell_angle_gamma 90.00
_space_group_name_H-M_alt 'C 1 m 1'
_space_group_IT_number 8
loop_
_space_group_symop_operation_xyz
'x,y,z'
'x,-y,z'
'x+1/2,y+1/2,z'
'x+1/2,-y+1/2,z'
loop_
_atom_site_label
_atom_site_type_symbol
_atom_site_fract_x
_atom_site_fract_y
_atom_site_fract_z
La1 La 0.0000 0.0000 0.0000
Nd1 Nd 0.2303 0.5000 0.1778
Er1 Er 0.2529 0.0000 0.7129
Tm1 Tm 0.4867 0.0000 0.4625
```


7.
VASP calculation (PBE) on a relaxed structure of Rb3Tb2ScSe6.

Values from the calculation:
- Formation energy (no corrections): -1685 meV per atom
- Density: 4.99 g/cm3
- Total magnetization: 0.00 μB/f.u.
- Crystal system: monoclinic

Structure (CIF):
```
data_Rb3Tb2ScSe6
_cell_length_a 7.2558
_cell_length_b 12.5677
_cell_length_c 8.3367
_cell_angle_alpha 90.00
_cell_angle_beta 106.89
_cell_angle_gamma 90.00
_space_group_name_H-M_alt 'C 1 2/m 1'
_space_group_IT_number 12
loop_
_space_group_symop_operation_xyz
'x,y,z'
'-x,-y,-z'
'-x,y,-z'
'x,-y,z'
'x+1/2,y+1/2,z'
'-x+1/2,-y+1/2,-z'
'-x+1/2,y+1/2,-z'
'x+1/2,-y+1/2,z'
loop_
_atom_site_label
_atom_site_type_symbol
_atom_site_fract_x
_atom_site_fract_y
_atom_site_fract_z
Rb1 Rb 0.0000 0.0000 0.0000
Rb2 Rb 0.0000 0.3308 0.0000
Tb1 Tb 0.0000 0.1664 0.5000
Sc1 Sc 0.0000 0.5000 0.5000
Se1 Se 0.2246 0.3396 0.6924
Se2 Se 0.2437 0.0000 0.6933
```


8.
VASP calculation (PBE) on a relaxed structure of Fe2ReW2.

Values from the calculation:
- Density: 14.98 g/cm3
- Total magnetization: 0.00 μB/f.u.
- Excess energy over the best structure of this formula in the dataset: 0.501 eV per atom
- Crystal system: tetragonal
- Energy relative to the elements: 706 meV per atom

Structure (CIF):
```
data_Fe2ReW2
_cell_length_a 3.8321
_cell_length_b 3.8321
_cell_length_c 10.0464
_cell_angle_alpha 90.00
_cell_angle_beta 90.00
_cell_angle_gamma 90.00
_space_group_name_H-M_alt 'I 4/m m m'
_space_group_IT_number 139
_space_group_name_Hall '-I 4 2'
loop_
_atom_site_label
_atom_site_type_symbol
_atom_site_fract_x
_atom_site_fract_y
_atom_site_fract_z
Fe1 Fe 0.0000 0.0000 0.1016
Re1 Re 0.0000 0.0000 0.5000
W1 W 0.0000 0.5000 0.2500
```


9.
VASP calculation (PBE) on a relaxed structure of Tm3MnTl4Te8.

Values from the calculation:
- Formation energy (no corrections): -800 meV per atom
- Density: 7.52 g/cm3
- Total magnetization: 4.41 μB/f.u.
- Crystal system: trigonal

Structure (CIF):
```
data_Tm3MnTl4Te8
_cell_length_a 8.7271
_cell_length_b 8.7271
_cell_length_c 24.1168
_cell_angle_alpha 90.00
_cell_angle_beta 90.00
_cell_angle_gamma 120.00
_space_group_name_H-M_alt 'R -3 m'
_space_group_IT_number 166
_space_group_name_Hall '-R 3 2"'
loop_
_atom_site_label
_atom_site_type_symbol
_atom_site_fract_x
_atom_site_fract_y
_atom_site_fract_z
Tm1 Tm 0.0000 0.5000 0.0000
Mn1 Mn 0.0000 0.0000 0.0000
Tl1 Tl 0.0000 0.0000 0.5000
Tl2 Tl 0.0000 0.5000 0.5000
Te1 Te 0.0000 0.0000 0.2619
Te2 Te 0.0133 0.5066 0.7350
```


10.
VASP calculation (PBE) on a relaxed structure of Zr4HgPd.

Values from the calculation:
- Density: 8.66 g/cm3
- Total magnetization: 0.00 μB/f.u.
- Crystal system: tetragonal
- Energy relative to the elements: -320 meV per atom

Structure (CIF):
```
data_Zr4HgPd
_cell_length_a 3.3487
_cell_length_b 3.3487
_cell_length_c 11.4837
_cell_angle_alpha 90.00
_cell_angle_beta 90.00
_cell_angle_gamma 90.00
_space_group_name_H-M_alt 'P 4/m m m'
_space_group_IT_number 123
_space_group_name_Hall '-P 4 2'
loop_
_atom_site_label
_atom_site_type_symbol
_atom_site_fract_x
_atom_site_fract_y
_atom_site_fract_z
Zr1 Zr 0.0000 0.0000 0.1494
Zr2 Zr 0.5000 0.5000 0.3268
Hg1 Hg 0.0000 0.0000 0.5000
Pd1 Pd 0.5000 0.5000 0.0000
```


The records above give, respectively, VASP energy values of -4.706 -7.215 -4.361 -5.361 -5.604 -4.585 -4.969 -10.350 -4.374 -6.934 eV per atom.